Record 1
{
  "formula": "Ta4Tl2P",
  "functional": "PBE",
  "state": "relaxed",
  "cell": [[-2.264, 2.264, 7.397], [2.264, -2.264, 7.397], [2.264, 2.264, -7.397]],
  "species": ["Ta", "Ta", "Ta", "Ta", "Tl", "Tl", "P"],
  "fractional_positions": [[0.000, 0.500, 0.500], [0.158, 0.158, 0.000], [0.500, 0.000, 0.500], [0.842, 0.842, 0.000], [0.352, 0.352, 0.000], [0.648, 0.648, 0.000], [0.000, 0.000, 0.000]],
  "density_kg_m3": 12734,
  "e_tot_ev_per_cell": -52.59,
  "delta_e_f_ev_per_fu": 5.0,
  "magnetic_moment_mub_per_fu": 0.55
}

Record 2
{
  "formula": "TaTl2P",
  "functional": "PBE",
  "state": "relaxed",
  "cell": [[3.330, 0.000, 0.000], [0.000, 3.330, 0.000], [0.000, 0.000, 8.297]],
  "species": ["Ta", "Tl", "Tl", "P"],
  "fractional_positions": [[0.000, 0.000, 0.000], [0.000, 0.000, 0.602], [0.500, 0.500, 0.267], [0.500, 0.500, 0.890]],
  "density_kg_m3": 11201,
  "e_tot_ev_per_cell": -22.03,
  "delta_e_f_ev_per_fu": 0.0,
  "magnetic_moment_mub_per_fu": 0.00,
  "polymorph_energy_mev_per_atom": 0
}

Record 3
{
  "formula": "TaTl2P",
  "functional": "PBE",
  "state": "relaxed",
  "cell": [[4.894, 0.000, 0.000], [0.000, 3.433, 0.000], [-1.412, 0.000, 5.012]],
  "species": ["Ta", "Tl", "Tl", "P"],
  "fractional_positions": [[0.000, 0.000, 0.000], [0.000, 0.500, 0.500], [0.500, 0.000, 0.500], [0.500, 0.500, 0.000]],
  "density_kg_m3": 12243,
  "e_tot_ev_per_cell": -19.24,
  "delta_e_f_ev_per_fu": 2.8,
  "magnetic_moment_mub_per_fu": 0.00,
  "polymorph_energy_mev_per_atom": 696
}

Record 4
{
  "formula": "TaTl2P",
  "functional": "PBE",
  "state": "relaxed",
  "cell": [[-4.022, 4.022, 2.784], [4.022, -4.022, 2.784], [4.022, 4.022, -2.784]],
  "species": ["Ta", "Ta", "Tl", "Tl", "Tl", "Tl", "P", "P"],
  "fractional_positions": [[0.000, 0.000, 0.000], [0.750, 0.250, 0.500], [0.136, 0.625, 0.011], [0.375, 0.386, 0.511], [0.614, 0.125, 0.989], [0.875, 0.864, 0.489], [0.250, 0.750, 0.500], [0.500, 0.500, 0.000]],
  "density_kg_m3": 11446,
  "e_tot_ev_per_cell": -37.02,
  "delta_e_f_ev_per_fu": 3.5,
  "magnetic_moment_mub_per_fu": 0.00,
  "polymorph_energy_mev_per_atom": 879
}